[1]
A relaxed structure of Tm5Sc2Pb4. Source: Alexandria via LeMat-Bulk, functional PBE.

The structure in CIF format:
```
data_Tm5Sc2Pb4
_cell_length_a 22.110
_cell_length_b 3.511
_cell_length_c 8.146
_cell_angle_alpha 90.00
_cell_angle_beta 98.97
_cell_angle_gamma 90.00
_symmetry_space_group_name_H-M 'C 1 2/m 1'
_symmetry_Int_Tables_number 12
_symmetry_space_group_name_Hall '-C 2y'
loop_
_atom_site_label
_atom_site_fract_x
_atom_site_fract_y
_atom_site_fract_z
Tm1 0.000 0.000 0.000
Tm2 0.142 0.500 0.006
Tm3 0.181 0.500 0.453
Sc1 0.079 0.000 0.659
Pb1 0.044 0.500 0.325
Pb2 0.221 0.000 0.782
```

[2]
A relaxed structure of Tm6ScPb. Source: Alexandria via LeMat-Bulk, functional PBE.

The structure in CIF format:
```
data_Tm6ScPb
_cell_length_a 6.884
_cell_length_b 6.884
_cell_length_c 4.816
_cell_angle_alpha 90.00
_cell_angle_beta 90.00
_cell_angle_gamma 90.00
_symmetry_space_group_name_H-M 'P 4/m m m'
_symmetry_Int_Tables_number 123
_symmetry_space_group_name_Hall '-P 4 2'
loop_
_atom_site_label
_atom_site_fract_x
_atom_site_fract_y
_atom_site_fract_z
Tm1 0.000 0.500 0.000
Tm2 0.244 0.244 0.500
Sc1 0.000 0.000 0.000
Pb1 0.500 0.500 0.000
```

[3]
A relaxed structure of TmSc2Pb. Source: Alexandria via LeMat-Bulk, functional PBE.

The structure in CIF format:
```
data_TmSc2Pb
_cell_length_a 7.383
_cell_length_b 7.383
_cell_length_c 7.383
_cell_angle_alpha 90.00
_cell_angle_beta 90.00
_cell_angle_gamma 90.00
_symmetry_space_group_name_H-M 'F -4 3 m'
_symmetry_Int_Tables_number 216
_symmetry_space_group_name_Hall 'F -4 2 3'
loop_
_atom_site_label
_atom_site_fract_x
_atom_site_fract_y
_atom_site_fract_z
Tm1 0.000 0.000 0.000
Sc1 0.000 0.000 0.500
Sc2 0.250 0.250 0.250
Pb1 0.250 0.250 0.750
```

[4]
A relaxed structure of TmSc5Pb3. Source: Alexandria via LeMat-Bulk, functional PBE.

The structure in CIF format:
```
data_TmSc5Pb3
_cell_length_a 8.9272
_cell_length_b 8.9272
_cell_length_c 6.3212
_cell_angle_alpha 90.00
_cell_angle_beta 90.00
_cell_angle_gamma 120.00
_symmetry_space_group_name_H-M 'P 63/m c m'
_symmetry_Int_Tables_number 193
_symmetry_space_group_name_Hall '-P 6c 2'
loop_
_atom_site_label
_atom_site_fract_x
_atom_site_fract_y
_atom_site_fract_z
Tm1 0.0000 0.0000 0.0000
Sc1 0.0000 0.3368 0.2500
Sc2 0.3333 0.6667 0.0000
Pb1 0.0000 0.3341 0.7500
```

[5]
A relaxed structure of Tm3ScPb5. Source: Alexandria via LeMat-Bulk, functional PBE.

The structure in CIF format:
```
data_Tm3ScPb5
_cell_length_a 9.3847
_cell_length_b 9.3847
_cell_length_c 6.3999
_cell_angle_alpha 90.00
_cell_angle_beta 90.00
_cell_angle_gamma 120.00
_symmetry_space_group_name_H-M 'P 63/m c m'
_symmetry_Int_Tables_number 193
_symmetry_space_group_name_Hall '-P 6c 2'
loop_
_atom_site_label
_atom_site_fract_x
_atom_site_fract_y
_atom_site_fract_z
Tm1 0.0000 0.3831 0.2500
Sc1 0.0000 0.0000 0.0000
Pb1 0.0000 0.2791 0.7500
Pb2 0.3333 0.6667 0.0000
```

[6]
A relaxed structure of Tm4Sc2Pb5. Source: Alexandria via LeMat-Bulk, functional PBE.

The structure in CIF format:
```
data_Tm4Sc2Pb5
_cell_length_a 9.302
_cell_length_b 19.929
_cell_length_c 6.372
_cell_angle_alpha 90.00
_cell_angle_beta 90.00
_cell_angle_gamma 90.00
_symmetry_space_group_name_H-M 'I b a m'
_symmetry_Int_Tables_number 72
_symmetry_space_group_name_Hall '-I 2 2c'
loop_
_atom_site_label
_atom_site_fract_x
_atom_site_fract_y
_atom_site_fract_z
Tm1 0.110 0.143 0.000
Tm2 0.231 0.440 0.000
Sc1 0.000 0.304 0.250
Pb1 0.000 0.000 0.250
Pb2 0.099 0.421 0.500
Pb3 0.200 0.209 0.500
```

[7]
A relaxed structure of Tm2ScPb2. Source: Alexandria via LeMat-Bulk, functional PBE.

The structure in CIF format:
```
data_Tm2ScPb2
_cell_length_a 6.445
_cell_length_b 4.402
_cell_length_c 10.090
_cell_angle_alpha 90.00
_cell_angle_beta 90.00
_cell_angle_gamma 90.00
_symmetry_space_group_name_H-M 'P m m a'
_symmetry_Int_Tables_number 51
_symmetry_space_group_name_Hall '-P 2a 2a'
loop_
_atom_site_label
_atom_site_fract_x
_atom_site_fract_y
_atom_site_fract_z
Tm1 0.250 0.000 0.159
Tm2 0.250 0.500 0.727
Sc1 0.000 0.000 0.500
Pb1 0.000 0.500 0.000
Pb2 0.250 0.500 0.383
```

[8]
A relaxed structure of TmScPb. Source: Alexandria via LeMat-Bulk, functional PBE.

The structure in CIF format:
```
data_TmScPb
_cell_length_a 3.522
_cell_length_b 3.522
_cell_length_c 12.877
_cell_angle_alpha 90.00
_cell_angle_beta 90.00
_cell_angle_gamma 90.00
_symmetry_space_group_name_H-M 'I 4 m m'
_symmetry_Int_Tables_number 107
_symmetry_space_group_name_Hall 'I 4 -2'
loop_
_atom_site_label
_atom_site_fract_x
_atom_site_fract_y
_atom_site_fract_z
Tm1 0.000 0.000 0.000
Sc1 0.000 0.000 0.672
Pb1 0.000 0.000 0.328
```

[9]
A relaxed structure of Tm3ScPb3. Source: Alexandria via LeMat-Bulk, functional PBE.

The structure in CIF format:
```
data_Tm3ScPb3
_cell_length_a 9.155
_cell_length_b 14.078
_cell_length_c 6.767
_cell_angle_alpha 90.00
_cell_angle_beta 92.18
_cell_angle_gamma 90.00
_symmetry_space_group_name_H-M 'C 1 2/m 1'
_symmetry_Int_Tables_number 12
_symmetry_space_group_name_Hall '-C 2y'
loop_
_atom_site_label
_atom_site_fract_x
_atom_site_fract_y
_atom_site_fract_z
Tm1 0.000 0.156 0.000
Tm2 0.000 0.194 0.500
Tm3 0.065 0.500 0.765
Sc1 0.203 0.000 0.721
Pb1 0.114 0.000 0.283
Pb2 0.177 0.318 0.212
```

[10]
A relaxed structure of Tm8ScPb6. Source: Alexandria via LeMat-Bulk, functional PBE.

The structure in CIF format:
```
data_Tm8ScPb6
_cell_length_a 8.9855
_cell_length_b 8.9855
_cell_length_c 19.4940
_cell_angle_alpha 90.00
_cell_angle_beta 90.00
_cell_angle_gamma 120.00
_symmetry_space_group_name_H-M 'R -3'
_symmetry_Int_Tables_number 148
_symmetry_space_group_name_Hall '-R 3'
loop_
_atom_site_label
_atom_site_fract_x
_atom_site_fract_y
_atom_site_fract_z
Tm1 0.0000 0.0000 0.1665
Tm2 0.0000 0.3320 0.6042
Sc1 0.0000 0.0000 0.5000
Pb1 0.0000 0.3314 0.4313
```

[11]
A relaxed structure of Tm3ScPb4. Source: Alexandria via LeMat-Bulk, functional PBE.

The structure in CIF format:
```
data_Tm3ScPb4
_cell_length_a 6.675
_cell_length_b 11.424
_cell_length_c 6.207
_cell_angle_alpha 90.00
_cell_angle_beta 90.00
_cell_angle_gamma 90.00
_symmetry_space_group_name_H-M 'P m n 21'
_symmetry_Int_Tables_number 31
_symmetry_space_group_name_Hall 'P 2ac -2'
loop_
_atom_site_label
_atom_site_fract_x
_atom_site_fract_y
_atom_site_fract_z
Tm1 0.000 0.137 0.000
Tm2 0.249 0.355 0.609
Sc1 0.000 0.849 0.723
Pb1 0.000 0.102 0.509
Pb2 0.000 0.879 0.217
Pb3 0.248 0.373 0.111
```

[12]
A relaxed structure of Tm3Sc4Pb2. Source: Alexandria via LeMat-Bulk, functional PBE.

The structure in CIF format:
```
data_Tm3Sc4Pb2
_cell_length_a 11.650
_cell_length_b 5.160
_cell_length_c 9.822
_cell_angle_alpha 90.00
_cell_angle_beta 126.21
_cell_angle_gamma 90.00
_symmetry_space_group_name_H-M 'C 1 2/m 1'
_symmetry_Int_Tables_number 12
_symmetry_space_group_name_Hall '-C 2y'
loop_
_atom_site_label
_atom_site_fract_x
_atom_site_fract_y
_atom_site_fract_z
Tm1 0.000 0.000 0.000
Tm2 0.162 0.500 0.567
Sc1 0.039 0.000 0.682
Sc2 0.156 0.500 0.917
Pb1 0.163 0.500 0.246
```

[13]
A relaxed structure of Tm2ScPb2. Source: Alexandria via LeMat-Bulk, functional PBE.

The structure in CIF format:
```
data_Tm2ScPb2
_cell_length_a 4.933
_cell_length_b 17.451
_cell_length_c 6.403
_cell_angle_alpha 90.00
_cell_angle_beta 90.00
_cell_angle_gamma 90.00
_symmetry_space_group_name_H-M 'C m c 21'
_symmetry_Int_Tables_number 36
_symmetry_space_group_name_Hall 'C 2c -2'
loop_
_atom_site_label
_atom_site_fract_x
_atom_site_fract_y
_atom_site_fract_z
Tm1 0.000 0.000 0.000
Tm2 0.000 0.193 0.251
Sc1 0.000 0.398 0.249
Pb1 0.000 0.188 0.751
Pb2 0.000 0.422 0.750
```

[14]
A relaxed structure of TmScPb. Source: Alexandria via LeMat-Bulk, functional PBE.

The structure in CIF format:
```
data_TmScPb
_cell_length_a 4.426
_cell_length_b 4.426
_cell_length_c 8.156
_cell_angle_alpha 90.00
_cell_angle_beta 90.00
_cell_angle_gamma 90.00
_symmetry_space_group_name_H-M 'P 4/n m m'
_symmetry_Int_Tables_number 129
loop_
_symmetry_equiv_pos_as_xyz
'x,y,z'
'-x,-y,-z'
'-y+1/2,x,z'
'y+1/2,-x,-z'
'-x+1/2,-y+1/2,z'
'x+1/2,y+1/2,-z'
'y,-x+1/2,z'
'-y,x+1/2,-z'
'x+1/2,-y,-z'
'-x+1/2,y,z'
'-y,-x,-z'
'y,x,z'
'-x,y+1/2,-z'
'x,-y+1/2,z'
'y+1/2,x+1/2,-z'
'-y+1/2,-x+1/2,z'
loop_
_atom_site_label
_atom_site_fract_x
_atom_site_fract_y
_atom_site_fract_z
Tm1 0.250 0.250 0.162
Sc1 0.250 0.750 0.500
Pb1 0.250 0.250 0.772
```

[15]
A relaxed structure of TmSc2Pb. Source: Alexandria via LeMat-Bulk, functional PBE.

The structure in CIF format:
```
data_TmSc2Pb
_cell_length_a 4.107
_cell_length_b 11.879
_cell_length_c 8.781
_cell_angle_alpha 90.00
_cell_angle_beta 90.00
_cell_angle_gamma 90.00
_symmetry_space_group_name_H-M 'C m c m'
_symmetry_Int_Tables_number 63
_symmetry_space_group_name_Hall '-C 2c 2'
loop_
_atom_site_label
_atom_site_fract_x
_atom_site_fract_y
_atom_site_fract_z
Tm1 0.000 0.050 0.250
Sc1 0.000 0.369 0.053
Pb1 0.000 0.242 0.750
```

[16]
A relaxed structure of TmSc3Pb2. Source: Alexandria via LeMat-Bulk, functional PBE.

The structure in CIF format:
```
data_TmSc3Pb2
_cell_length_a 4.364
_cell_length_b 4.364
_cell_length_c 8.070
_cell_angle_alpha 90.00
_cell_angle_beta 90.00
_cell_angle_gamma 90.00
_symmetry_space_group_name_H-M 'P -4 m 2'
_symmetry_Int_Tables_number 115
_symmetry_space_group_name_Hall 'P -4 -2'
loop_
_atom_site_label
_atom_site_fract_x
_atom_site_fract_y
_atom_site_fract_z
Tm1 0.000 0.000 0.000
Sc1 0.000 0.500 0.335
Sc2 0.500 0.500 0.000
Pb1 0.000 0.500 0.710
```

[17]
A relaxed structure of TmSc8Pb2. Source: Alexandria via LeMat-Bulk, functional PBE.

The structure in CIF format:
```
data_TmSc8Pb2
_cell_length_a 8.241
_cell_length_b 14.480
_cell_length_c 5.388
_cell_angle_alpha 90.00
_cell_angle_beta 119.85
_cell_angle_gamma 90.00
_symmetry_space_group_name_H-M 'C 1 2/m 1'
_symmetry_Int_Tables_number 12
_symmetry_space_group_name_Hall '-C 2y'
loop_
_atom_site_label
_atom_site_fract_x
_atom_site_fract_y
_atom_site_fract_z
Tm1 0.000 0.000 0.000
Sc1 0.000 0.212 0.000
Sc2 0.079 0.500 0.794
Sc3 0.211 0.113 0.645
Pb1 0.000 0.307 0.500
```

[18]
A relaxed structure of Tm2Sc3Pb2. Source: Alexandria via LeMat-Bulk, functional PBE.

The structure in CIF format:
```
data_Tm2Sc3Pb2
_cell_length_a 11.612
_cell_length_b 4.289
_cell_length_c 8.075
_cell_angle_alpha 90.00
_cell_angle_beta 110.70
_cell_angle_gamma 90.00
_symmetry_space_group_name_H-M 'C 1 2/m 1'
_symmetry_Int_Tables_number 12
_symmetry_space_group_name_Hall '-C 2y'
loop_
_atom_site_label
_atom_site_fract_x
_atom_site_fract_y
_atom_site_fract_z
Tm1 0.127 0.000 0.276
Sc1 0.000 0.500 0.500
Sc2 0.118 0.500 0.939
Pb1 0.169 0.000 0.705
```

[19]
A relaxed structure of Tm4ScPb5. Source: Alexandria via LeMat-Bulk, functional PBE.

The structure in CIF format:
```
data_Tm4ScPb5
_cell_length_a 9.773
_cell_length_b 9.773
_cell_length_c 6.191
_cell_angle_alpha 90.00
_cell_angle_beta 90.00
_cell_angle_gamma 90.00
_symmetry_space_group_name_H-M 'I 4'
_symmetry_Int_Tables_number 79
_symmetry_space_group_name_Hall 'I 4'
loop_
_atom_site_label
_atom_site_fract_x
_atom_site_fract_y
_atom_site_fract_z
Tm1 0.094 0.304 0.000
Sc1 0.000 0.000 0.478
Pb1 0.000 0.000 0.976
Pb2 0.101 0.289 0.500
```

[20]
A relaxed structure of ScUPb. Source: Alexandria via LeMat-Bulk, functional PBE.

The structure in CIF format:
```
data_ScUPb
_cell_length_a 3.293
_cell_length_b 17.106
_cell_length_c 4.977
_cell_angle_alpha 90.00
_cell_angle_beta 90.00
_cell_angle_gamma 90.00
_symmetry_space_group_name_H-M 'C m c m'
_symmetry_Int_Tables_number 63
_symmetry_space_group_name_Hall '-C 2c 2'
loop_
_atom_site_label
_atom_site_fract_x
_atom_site_fract_y
_atom_site_fract_z
Sc1 0.000 0.070 0.250
U1 0.000 0.263 0.750
Pb1 0.000 0.405 0.250
```

[21]
A relaxed structure of Sc3VPb. Source: Alexandria via LeMat-Bulk, functional PBE.

The structure in CIF format:
```
data_Sc3VPb
_cell_length_a 4.951
_cell_length_b 4.951
_cell_length_c 4.951
_cell_angle_alpha 90.00
_cell_angle_beta 90.00
_cell_angle_gamma 90.00
_symmetry_space_group_name_H-M 'P m -3 m'
_symmetry_Int_Tables_number 221
_symmetry_space_group_name_Hall '-P 4 2 3'
loop_
_atom_site_label
_atom_site_fract_x
_atom_site_fract_y
_atom_site_fract_z
Sc1 0.000 0.000 0.500
V1 0.000 0.000 0.000
Pb1 0.500 0.500 0.500
```

[22]
A relaxed structure of ScVPb3. Source: Alexandria via LeMat-Bulk, functional PBE.

The structure in CIF format:
```
data_ScVPb3
_cell_length_a 5.274
_cell_length_b 5.274
_cell_length_c 5.274
_cell_angle_alpha 90.00
_cell_angle_beta 90.00
_cell_angle_gamma 90.00
_symmetry_space_group_name_H-M 'P m -3 m'
_symmetry_Int_Tables_number 221
_symmetry_space_group_name_Hall '-P 4 2 3'
loop_
_atom_site_label
_atom_site_fract_x
_atom_site_fract_y
_atom_site_fract_z
Sc1 0.000 0.000 0.000
V1 0.500 0.500 0.500
Pb1 0.000 0.500 0.500
```

| no. | D(E_F) (states/eV per cell) | energy (eV/atom) | energy of formation (eV/atom) |
| --- | --- | --- | --- |
| 1 | 22.2 | -4.743 | -0.211 |
| 2 | 12.2 | -4.705 | -0.097 |
| 3 | 23.2 | -5.293 | -0.082 |
| 4 | 17.4 | -5.604 | -0.353 |
| 5 | 14.7 | -4.611 | -0.357 |
| 6 | 30.9 | -4.953 | -0.490 |
| 7 | 5.8 | -4.860 | -0.322 |
| 8 | 6.0 | -5.102 | -0.265 |
| 9 | 12.3 | -4.609 | -0.198 |
| 10 | 33.8 | -4.566 | -0.276 |
| 11 | 12.5 | -4.462 | -0.140 |
| 12 | 16.7 | -5.346 | -0.217 |
| 13 | 14.4 | -4.943 | -0.404 |
| 14 | 4.8 | -5.264 | -0.426 |
| 15 | 17.3 | -5.439 | -0.228 |
| 16 | 3.5 | -5.501 | -0.354 |
| 17 | 33.7 | -5.725 | -0.040 |
| 18 | 14.3 | -5.341 | -0.290 |
| 19 | 18.6 | -4.517 | -0.241 |
| 20 | 19.3 | -7.172 | -0.062 |
| 21 | 5.5 | -6.005 | 0.359 |
| 22 | 4.8 | -4.837 | 0.478 |